No. 1
Material: InSbF3
Method: DFT, PBEsol
State: relaxed

Cell: 4.3647 4.3647 4.3647 Å, 90.00 90.00 90.00°
Closest atoms and distances in Å follow each position.
Atoms (fractional coordinates):
In 0.0000 0.0000 0.0000  6 F 2.18
Sb 0.5000 0.5000 0.5000  12 F 3.09
F 0.0000 0.0000 0.5000  2 In 2.18
F 0.0000 0.5000 0.0000  2 In 2.18
F 0.5000 0.0000 0.0000  2 In 2.18

## Properties
* calculated volume: 16.6 A^3/atom



No. 2
Material: ZrCoH3
Method: DFT, PBEsol
State: relaxed

Cell: 3.3265 3.3265 3.3265 Å, 90.00 90.00 90.00°
Closest atoms and distances in Å follow each position.
Atoms (fractional coordinates):
Zr 0.0000 0.0000 0.0000  12 H 2.35
Co 0.5000 0.5000 0.5000  6 H 1.66
H 0.0000 0.5000 0.5000  2 Co 1.66
H 0.5000 0.0000 0.5000  2 Co 1.66
H 0.5000 0.5000 0.0000  2 Co 1.66

## Properties
* calculated volume: 7.4 A^3/atom



No. 3
Material: NdTm3
Method: DFT, PBEsol
State: relaxed

Cell: 7.0582 7.0582 5.5411 Å, 90.00 90.00 120.00°
Closest atoms and distances in Å follow each position.
Atoms (fractional coordinates):
Nd 0.3333 0.6667 0.2500  12 Tm 3.45-3.53
Nd 0.6667 0.3333 0.7500  12 Tm 3.45-3.53
Tm 0.1652 0.3304 0.7500  8 Tm 3.43-3.56, 4 Nd 3.45-3.53
Tm 0.1652 0.8348 0.7500  8 Tm 3.43-3.56, 4 Nd 3.45-3.53
Tm 0.3304 0.1652 0.2500  8 Tm 3.43-3.56, 4 Nd 3.45-3.53
Tm 0.6696 0.8348 0.7500  8 Tm 3.43-3.56, 4 Nd 3.45-3.53
Tm 0.8348 0.1652 0.2500  8 Tm 3.43-3.56, 4 Nd 3.45-3.53
Tm 0.8348 0.6696 0.2500  8 Tm 3.43-3.56, 4 Nd 3.45-3.53

## Properties
* calculated volume: 29.9 A^3/atom
* energy of formation: 12.6 meV/atom



No. 4
Material: Al2IF
Method: DFT, PBEsol
State: relaxed

Cell: 5.0034 5.0034 5.0034 Å, 60.00 60.00 60.00°
Closest atoms and distances in Å follow each position.
Atoms (fractional coordinates):
Al 0.2500 0.2500 0.2500  4 F 3.06, 4 I 3.06
Al 0.7500 0.7500 0.7500  4 I 3.06, 4 F 3.06
I 0.0000 0.0000 0.0000  8 Al 3.06
F 0.5000 0.5000 0.5000  8 Al 3.06

## Properties
* calculated volume: 22.1 A^3/atom



No. 5
Material: MgZrCoTe2
Method: DFT, PBEsol
State: relaxed

Cell: 4.9864 4.9864 4.3759 Å, 90.00 90.00 90.00°
Closest atoms and distances in Å follow each position.
Atoms (fractional coordinates):
Mg 0.0000 0.0000 0.0000  2 Co 2.19
Zr 0.5000 0.5000 0.0000  8 Te 3.32, 4 Mg 3.53
Co 0.0000 0.0000 0.5000  2 Mg 2.19
Te 0.0000 0.5000 0.5000  2 Co 2.49
Te 0.5000 0.0000 0.5000  2 Co 2.49

## Properties
* calculated volume: 21.8 A^3/atom



No. 6
Material: SrCuOs2
Method: DFT, PBEsol
State: relaxed

Cell: 5.4623 5.4623 2.5613 Å, 90.00 90.00 119.00°
Closest atoms and distances in Å follow each position.
Atoms (fractional coordinates):
Sr 0.0000 0.0000 0.0000  2 Sr 2.56, 2 Cu 2.77
Cu 0.5000 0.5000 0.0000  2 Cu 2.56, 2 Sr 2.77
Os 0.0000 0.5000 0.5000  4 Os 2.56-2.77
Os 0.5000 0.0000 0.5000  4 Os 2.56-2.77

## Properties
* calculated volume: 16.7 A^3/atom
* energy of formation: 1069.7 meV/atom



Asked for final energy across the records above, the calculation gives -20.23 -28.73 -19.81 -12.85 -24.58 -26.33 eV/f.u. in order.